The following is a SCAN calculation of MnSi4O10 at its PBEsol-relaxed geometry, from the Alexandria database.

Properties
- raw total energy (eV per atom) = -10.665
- formation energy from raw total energies (eV per formula unit) = -39.34

abc: 7.3687 7.3687 15.1995
angles: 90.00 90.00 90.00
Last column: nearest neighbours and their distance in Å.
Element x y z (fractional)
1 O 0.1132 0.7146 0.4131  1 Si 1.62, 1 Mn 1.79
2 O 0.7854 0.3868 0.9131  1 Si 1.62, 1 Mn 1.79
3 O 0.2850 0.2850 0.2500  2 Si 1.62
4 O 0.7512 0.9649 0.3740  2 Si 1.62
5 O 0.7146 0.1132 0.0869  1 Si 1.62, 1 Mn 1.79
6 O 0.9649 0.2488 0.6260  2 Si 1.62
7 O 0.6132 0.7854 0.0869  1 Si 1.62, 1 Mn 1.79
8 O 0.7150 0.7150 0.2500  2 Si 1.62
9 O 0.2150 0.7850 0.2500  2 Si 1.62
10 O 0.7150 0.2850 0.7500  2 Si 1.62
11 O 0.2488 0.9649 0.8740  2 Si 1.62
12 O 0.7146 0.8868 0.5869  1 Si 1.62, 1 Mn 1.79
13 O 0.7488 0.5351 0.6260  2 Si 1.62
14 O 0.6132 0.2146 0.5869  1 Si 1.62, 1 Mn 1.79
15 O 0.0351 0.7512 0.6260  2 Si 1.62
16 O 0.2488 0.0351 0.3740  2 Si 1.62
17 O 0.4649 0.2512 0.8740  2 Si 1.62
18 O 0.1132 0.2854 0.9131  1 Si 1.62, 1 Mn 1.79
19 O 0.8868 0.7146 0.9131  1 Si 1.62, 1 Mn 1.79
20 O 0.7512 0.0351 0.8740  2 Si 1.62
21 O 0.8868 0.2854 0.4131  1 Si 1.62, 1 Mn 1.79
22 O 0.9649 0.7512 0.1260  2 Si 1.62
23 O 0.2512 0.4649 0.6260  2 Si 1.62
24 O 0.5351 0.2512 0.3740  2 Si 1.62
25 O 0.7850 0.2150 0.2500  2 Si 1.62
26 O 0.4649 0.7488 0.3740  2 Si 1.62
27 O 0.7850 0.7850 0.7500  2 Si 1.62
28 O 0.5351 0.7488 0.8740  2 Si 1.62
29 O 0.2850 0.7150 0.7500  2 Si 1.62
30 O 0.3868 0.2146 0.0869  1 Si 1.62, 1 Mn 1.79
31 O 0.3868 0.7854 0.5869  1 Si 1.62, 1 Mn 1.79
32 O 0.0351 0.2488 0.1260  2 Si 1.62
33 O 0.2854 0.8868 0.0869  1 Si 1.62, 1 Mn 1.79
34 O 0.2854 0.1132 0.5869  1 Si 1.62, 1 Mn 1.79
35 O 0.2146 0.6132 0.9131  1 Si 1.62, 1 Mn 1.79
36 O 0.7854 0.6132 0.4131  1 Si 1.62, 1 Mn 1.79
37 O 0.2146 0.3868 0.4131  1 Si 1.62, 1 Mn 1.79
38 O 0.7488 0.4649 0.1260  2 Si 1.62
39 O 0.2512 0.5351 0.1260  2 Si 1.62
40 O 0.2150 0.2150 0.7500  2 Si 1.62
41 Si 0.1804 0.7391 0.1470  4 O 1.62
42 Si 0.3196 0.7609 0.8530  4 O 1.62
43 Si 0.2609 0.1804 0.8530  4 O 1.62
44 Si 0.2609 0.8196 0.3530  4 O 1.62
45 Si 0.8196 0.7391 0.6470  4 O 1.62
46 Si 0.2391 0.6804 0.6470  4 O 1.62
47 Si 0.7609 0.3196 0.6470  4 O 1.62
48 Si 0.1804 0.2609 0.6470  4 O 1.62
49 Si 0.3196 0.2391 0.3530  4 O 1.62
50 Si 0.2391 0.3196 0.1470  4 O 1.62
51 Si 0.6804 0.2391 0.8530  4 O 1.62
52 Si 0.6804 0.7609 0.3530  4 O 1.62
53 Si 0.8196 0.2609 0.1470  4 O 1.62
54 Si 0.7609 0.6804 0.1470  4 O 1.62
55 Si 0.7391 0.1804 0.3530  4 O 1.62
56 Si 0.7391 0.8196 0.8530  4 O 1.62
57 Mn 0.5000 0.0000 0.5810  4 O 1.79
58 Mn 0.0000 0.5000 0.9190  4 O 1.79
59 Mn 0.5000 0.0000 0.0810  4 O 1.79
60 Mn 0.0000 0.5000 0.4190  4 O 1.79

***

The following is a SCAN calculation of Mn5Si3O12 at its PBEsol-relaxed geometry, from the Alexandria database.

Properties
- raw total energy (eV per atom) = -12.278
- formation energy from raw total energies (eV per formula unit) = -49.46

abc: 10.1930 10.1930 10.1930
angles: 109.47 109.47 109.47
Last column: nearest neighbours and their distance in Å.
Element x y z (fractional)
1 Mn 0.6250 0.7500 0.3750  8 O 2.27-2.38
2 Mn 0.5000 0.5000 0.5000  6 O 1.99
3 Mn 0.7500 0.3750 0.6250  8 O 2.27-2.38
4 Mn 0.7500 0.8750 0.1250  8 O 2.27-2.38
5 Mn 0.2500 0.6250 0.3750  8 O 2.27-2.38
6 Mn 0.1250 0.7500 0.8750  8 O 2.27-2.38
7 Mn 0.0000 0.5000 0.0000  6 O 1.99
8 Mn 0.5000 0.0000 0.5000  6 O 1.99
9 Mn 0.3750 0.2500 0.6250  8 O 2.27-2.38
10 Mn 0.8750 0.6250 0.2500  8 O 2.27-2.38
11 Mn 0.0000 0.5000 0.5000  6 O 1.99
12 Mn 0.0000 0.0000 0.0000  6 O 1.99
13 Mn 0.8750 0.2500 0.1250  8 O 2.27-2.38
14 Mn 0.1250 0.3750 0.7500  8 O 2.27-2.38
15 Mn 0.5000 0.0000 0.0000  6 O 1.99
16 Mn 0.0000 0.0000 0.5000  6 O 1.99
17 Mn 0.6250 0.8750 0.7500  8 O 2.27-2.38
18 Mn 0.5000 0.5000 0.0000  6 O 1.99
19 Mn 0.3750 0.1250 0.2500  8 O 2.27-2.38
20 Mn 0.2500 0.1250 0.8750  8 O 2.27-2.38
21 O 0.3086 0.2898 0.4116  1 Si 1.65
22 O 0.4812 0.1914 0.1030  1 Si 1.65
23 O 0.6030 0.1218 0.4116  1 Si 1.65
24 O 0.4812 0.2898 0.8782  1 Si 1.65
25 O 0.9812 0.1030 0.1914  1 Si 1.65
26 O 0.0884 0.3970 0.3782  1 Si 1.65
27 O 0.0884 0.6914 0.2102  1 Si 1.65
28 O 0.9812 0.8782 0.2898  1 Si 1.65
29 O 0.2102 0.0188 0.6218  1 Si 1.65
30 O 0.3782 0.8970 0.0884  1 Si 1.65
31 O 0.6914 0.9812 0.6030  1 Si 1.65
32 O 0.6030 0.4812 0.6914  1 Si 1.65
33 O 0.1914 0.5884 0.7102  1 Si 1.65
34 O 0.4116 0.6218 0.6030  1 Si 1.65
35 O 0.7102 0.0884 0.1914  1 Si 1.65
36 O 0.1914 0.6030 0.9812  1 Si 1.65
37 O 0.9116 0.6030 0.6218  1 Si 1.65
38 O 0.3970 0.8782 0.5884  1 Si 1.65
39 O 0.0188 0.1218 0.7102  1 Si 1.65
40 O 0.1218 0.2102 0.5188  1 Si 1.65
41 O 0.1030 0.4116 0.1218  1 Si 1.65
42 O 0.1030 0.6914 0.4812  1 Si 1.65
43 O 0.1218 0.9116 0.1030  1 Si 1.65
44 O 0.8970 0.3086 0.5188  1 Si 1.65
45 O 0.8970 0.5884 0.8782  1 Si 1.65
46 O 0.2102 0.1914 0.0884  1 Si 1.65
47 O 0.6218 0.5188 0.2102  1 Si 1.65
48 O 0.6914 0.7102 0.5884  1 Si 1.65
49 O 0.5884 0.3782 0.3970  1 Si 1.65
50 O 0.8782 0.7898 0.4812  1 Si 1.65
51 O 0.9116 0.3086 0.7898  1 Si 1.65
52 O 0.5884 0.2102 0.6914  1 Si 1.65
53 O 0.0188 0.8970 0.8086  1 Si 1.65
54 O 0.7898 0.9812 0.3782  1 Si 1.65
55 O 0.7102 0.6218 0.0188  1 Si 1.65
56 O 0.2898 0.9116 0.8086  1 Si 1.65
57 O 0.5188 0.7102 0.1218  1 Si 1.65
58 O 0.4116 0.7898 0.3086  1 Si 1.65
59 O 0.3086 0.0188 0.3970  1 Si 1.65
60 O 0.8086 0.4116 0.2898  1 Si 1.65
61 O 0.3970 0.5188 0.3086  1 Si 1.65
62 O 0.5188 0.8086 0.8970  1 Si 1.65
63 O 0.8782 0.0884 0.8970  1 Si 1.65
64 O 0.8086 0.3970 0.0188  1 Si 1.65
65 O 0.3782 0.4812 0.7898  1 Si 1.65
66 O 0.6218 0.1030 0.9116  1 Si 1.65
67 O 0.2898 0.3782 0.9812  1 Si 1.65
68 O 0.7898 0.8086 0.9116  1 Si 1.65
69 Si 0.2500 0.3750 0.1250  4 O 1.65
70 Si 0.8750 0.7500 0.6250  4 O 1.65
71 Si 0.7500 0.1250 0.3750  4 O 1.65
72 Si 0.2500 0.8750 0.6250  4 O 1.65
73 Si 0.6250 0.3750 0.2500  4 O 1.65
74 Si 0.8750 0.1250 0.7500  4 O 1.65
75 Si 0.1250 0.8750 0.2500  4 O 1.65
76 Si 0.7500 0.6250 0.8750  4 O 1.65
77 Si 0.3750 0.6250 0.7500  4 O 1.65
78 Si 0.3750 0.7500 0.1250  4 O 1.65
79 Si 0.6250 0.2500 0.8750  4 O 1.65
80 Si 0.1250 0.2500 0.3750  4 O 1.65

***

The following is a SCAN calculation of Mn4SiO7 at its PBEsol-relaxed geometry, from the Alexandria database.

Properties
- raw total energy (eV per atom) = -12.866
- formation energy from raw total energies (eV per formula unit) = -27.74

abc: 4.8025 7.9143 7.9143
angles: 120.00 90.00 90.00
Last column: nearest neighbours and their distance in Å.
Element x y z (fractional)
1 O 0.2956 0.4924 0.8764  1 Si 1.65
2 O 0.2601 0.8392 0.7858  4 Mn 1.94-2.10
3 O 0.2601 0.9466 0.1608  4 Mn 1.94-2.10
4 O 0.2811 0.6667 0.3333  1 Si 1.64
5 O 0.7956 0.8764 0.3840  1 Si 1.65
6 O 0.7811 0.3333 0.6667  1 Si 1.64
7 O 0.2601 0.2142 0.0534  4 Mn 1.94-2.10
8 O 0.7601 0.0534 0.8392  4 Mn 1.94-2.10
9 O 0.7956 0.6160 0.4924  1 Si 1.65
10 O 0.7956 0.5076 0.1236  1 Si 1.65
11 O 0.2956 0.1236 0.6160  1 Si 1.65
12 O 0.2956 0.3840 0.5076  1 Si 1.65
13 O 0.7601 0.7858 0.9466  4 Mn 1.94-2.10
14 O 0.7601 0.1608 0.2142  4 Mn 1.94-2.10
15 Mn 0.0033 0.5968 0.7111  5 O 2.07-2.21
16 Mn 0.0033 0.1143 0.4032  5 O 2.07-2.21
17 Mn 0.5033 0.7111 0.1143  5 O 2.07-2.21
18 Mn 0.5033 0.4032 0.2889  5 O 2.07-2.21
19 Mn 0.0096 0.0000 0.0000  6 O 1.94-1.95
20 Mn 0.5033 0.8857 0.5968  5 O 2.07-2.21
21 Mn 0.0033 0.2889 0.8857  5 O 2.07-2.21
22 Mn 0.5096 0.0000 0.0000  6 O 1.94-1.95
23 Si 0.9404 0.6667 0.3333  4 O 1.64-1.65
24 Si 0.4404 0.3333 0.6667  4 O 1.64-1.65

***

The following is a SCAN calculation of MnZnSi4O10 at its PBEsol-relaxed geometry, from the Alexandria database.

Properties
- raw total energy (eV per atom) = -11.067
- formation energy from raw total energies (eV per formula unit) = -42.93

abc: 7.2846 7.2846 14.7701
angles: 90.00 90.00 90.00
Last column: nearest neighbours and their distance in Å.
Element x y z (fractional)
1 O 0.2260 0.9182 0.0738  1 Si 1.62
2 O 0.0818 0.2260 0.9262  1 Si 1.62
3 O 0.7453 0.9352 0.3746  2 Si 1.62-1.63
4 O 0.5818 0.7260 0.0738  1 Si 1.62
5 O 0.0648 0.7453 0.6254  2 Si 1.62-1.63
6 O 0.8158 0.8158 0.7500  2 Si 1.62
7 O 0.2547 0.0648 0.3746  2 Si 1.62-1.63
8 O 0.9182 0.7740 0.9262  1 Si 1.62
9 O 0.1842 0.1842 0.7500  2 Si 1.62
10 O 0.7740 0.9182 0.5738  1 Si 1.62
11 O 0.3158 0.3158 0.2500  2 Si 1.62
12 O 0.2453 0.5648 0.1254  2 Si 1.62-1.63
13 O 0.2547 0.9352 0.8746  2 Si 1.62-1.63
14 O 0.7260 0.5818 0.4262  1 Si 1.62
15 O 0.5648 0.7547 0.8746  2 Si 1.62-1.63
16 O 0.4352 0.2453 0.8746  2 Si 1.62-1.63
17 O 0.7453 0.0648 0.8746  2 Si 1.62-1.63
18 O 0.8158 0.1842 0.2500  2 Si 1.62
19 O 0.6842 0.3158 0.7500  2 Si 1.62
20 O 0.5818 0.2740 0.5738  1 Si 1.62
21 O 0.4182 0.7260 0.5738  1 Si 1.62
22 O 0.7260 0.4182 0.9262  1 Si 1.62
23 O 0.7547 0.5648 0.6254  2 Si 1.62-1.63
24 O 0.5648 0.2453 0.3746  2 Si 1.62-1.63
25 O 0.3158 0.6842 0.7500  2 Si 1.62
26 O 0.7547 0.4352 0.1254  2 Si 1.62-1.63
27 O 0.2740 0.5818 0.9262  1 Si 1.62
28 O 0.2260 0.0818 0.5738  1 Si 1.62
29 O 0.9352 0.7453 0.1254  2 Si 1.62-1.63
30 O 0.2740 0.4182 0.4262  1 Si 1.62
31 O 0.4352 0.7547 0.3746  2 Si 1.62-1.63
32 O 0.4182 0.2740 0.0738  1 Si 1.62
33 O 0.7740 0.0818 0.0738  1 Si 1.62
34 O 0.6842 0.6842 0.2500  2 Si 1.62
35 O 0.9352 0.2547 0.6254  2 Si 1.62-1.63
36 O 0.0648 0.2547 0.1254  2 Si 1.62-1.63
37 O 0.2453 0.4352 0.6254  2 Si 1.62-1.63
38 O 0.9182 0.2260 0.4262  1 Si 1.62
39 O 0.0818 0.7740 0.4262  1 Si 1.62
40 O 0.1842 0.8158 0.2500  2 Si 1.62
41 Mn 0.0000 0.5000 0.9438  4 O 2.10
42 Mn 0.5000 0.0000 0.0562  4 O 2.10
43 Mn 0.5000 0.0000 0.5562  4 O 2.10
44 Mn 0.0000 0.5000 0.4438  4 O 2.10
45 Si 0.2355 0.1545 0.8555  4 O 1.62-1.63
46 Si 0.2645 0.3455 0.1445  4 O 1.62-1.63
47 Si 0.6545 0.7355 0.3555  4 O 1.62-1.63
48 Si 0.3455 0.7355 0.8555  4 O 1.62-1.63
49 Si 0.7645 0.1545 0.3555  4 O 1.62-1.63
50 Si 0.3455 0.2645 0.3555  4 O 1.62-1.63
51 Si 0.2645 0.6545 0.6445  4 O 1.62-1.63
52 Si 0.1545 0.2355 0.6445  4 O 1.62-1.63
53 Si 0.2355 0.8455 0.3555  4 O 1.62-1.63
54 Si 0.7355 0.6545 0.1445  4 O 1.62-1.63
55 Si 0.7355 0.3455 0.6445  4 O 1.62-1.63
56 Si 0.8455 0.7645 0.6445  4 O 1.62-1.63
57 Si 0.1545 0.7645 0.1445  4 O 1.62-1.63
58 Si 0.7645 0.8455 0.8555  4 O 1.62-1.63
59 Si 0.8455 0.2355 0.1445  4 O 1.62-1.63
60 Si 0.6545 0.2645 0.8555  4 O 1.62-1.63
61 Zn 0.5000 0.5000 0.0000  4 O 2.06
62 Zn 0.0000 0.0000 0.5000  4 O 2.06
63 Zn 0.5000 0.5000 0.5000  4 O 2.06
64 Zn 0.0000 0.0000 0.0000  4 O 2.06

***

The following is a SCAN calculation of Mn5SnO8 at its PBEsol-relaxed geometry, from the Alexandria database.

Properties
- raw total energy (eV per atom) = -14.586
- polymorph energy (0 for the lowest one) (kJ/mol of atoms) = 1.2
- formation energy from raw total energies (eV per formula unit) = -27.16

abc: 5.8909 6.3131 5.8909
angles: 62.19 90.00 117.81
Last column: nearest neighbours and their distance in Å.
Element x y z (fractional)
1 Mn 0.8792 0.7583 0.8662  4 O 1.95-1.96
2 Mn 0.8792 0.7583 0.3755  4 O 1.95-1.96
3 Mn 0.8662 0.2417 0.8792  4 O 1.95-1.96
4 Mn 0.5000 0.0000 0.5000  4 O 2.03
5 Mn 0.3755 0.2417 0.8792  4 O 1.95-1.96
6 O 0.1130 0.2259 0.6736  2 Mn 1.96, 1 Sn 2.13
7 O 0.1130 0.2259 0.1004  2 Mn 1.96, 1 Sn 2.13
8 O 0.1004 0.7741 0.1130  2 Mn 1.96, 1 Sn 2.13
9 O 0.6491 0.7443 0.6279  3 Mn 1.95-2.03
10 O 0.0952 0.7443 0.6279  3 Mn 1.95-2.03
11 O 0.6279 0.2557 0.6491  3 Mn 1.95-2.03
12 O 0.6279 0.2557 0.0952  3 Mn 1.95-2.03
13 O 0.6736 0.7741 0.1130  2 Mn 1.96, 1 Sn 2.13
14 Sn 0.2500 0.5000 0.2500  4 O 2.13

***

| no. | calculated volume (Å³/cell) |
| --- | --- |
| 1 | 825.3 |
| 2 | 815.2 |
| 3 | 260.5 |
| 4 | 783.8 |
| 5 | 164.6 |